This record from Alexandria via LeMat-Bulk describes a relaxed structure of Cs3Mo2F9. The functional is PBE with a Hubbard U.

Structure (POSCAR):
```
Cs3Mo2F9
1.0
5.679 3.279 5.212
-5.679 3.279 5.212
0.000 -6.558 5.212
Cs Mo F
6 4 18
direct
0.098 0.750 0.402
0.250 0.598 0.902
0.402 0.098 0.750
0.598 0.902 0.250
0.750 0.402 0.098
0.902 0.250 0.598
0.153 0.153 0.153
0.347 0.347 0.347
0.653 0.653 0.653
0.847 0.847 0.847
0.067 0.913 0.750
0.087 0.250 0.933
0.110 0.390 0.250
0.250 0.110 0.390
0.250 0.413 0.567
0.250 0.933 0.087
0.390 0.250 0.110
0.413 0.567 0.250
0.433 0.750 0.587
0.567 0.250 0.413
0.587 0.433 0.750
0.610 0.750 0.890
0.750 0.067 0.913
0.750 0.587 0.433
0.750 0.890 0.610
0.890 0.610 0.750
0.913 0.750 0.067
0.933 0.087 0.250
```

Summary:
Final energy (eV/atom): -5.088